Density functional theory data (GGA-PBE) for a geometry-optimized FeCuMo2 structure.

a = 4.303 Å, b = 4.303 Å, c = 4.303 Å
α = 60.00°, β = 60.00°, γ = 60.00°
Atoms (fractional coordinates):
Fe: 0.000 0.000 0.000
Cu: 0.750 0.750 0.750
Mo: 0.250 0.250 0.250
Mo: 0.500 0.500 0.500

Results
Energy above the most stable polymorph in this dataset: 192 meV/atom
Total moment: 2.6 μB/f.u.
Space-group type: F-43m
Crystal system: cubic
Energy of formation: 0.35 eV/atom
Density of states at the Fermi level: 4.2 states/eV/f.u.